# 1
BaLa2Re | GGA-PBEsol | optimized geometry

The formation energy is 0.419 eV per atom. As for the total energy: -6.124 eV/atom. The theoretical density comes out at 6.73 g/cm³. The calculation puts the energy above the lowest structure with this stoichiometry at 0.0000 eV/atom.

Unit cell a=4.2352 b=4.2352 c=28.6420 alpha=90.00 beta=90.00 gamma=120.00
Last column: nearest neighbours and their distance in Å.
Space group R-3m (No. 166, hexagonal axes)
One atom of each set of equivalent atoms:
Ba (0.0000, 0.0000, 0.0000) (multiplicity 3)  6 La 4.13, 6 Ba 4.24
La (0.0000, 0.0000, 0.2171) (multiplicity 6)  3 Re 2.84
Re (0.0000, 0.0000, 0.5000) (multiplicity 3)  6 La 2.84

# 2
BaLaRh4 | GGA-PBEsol | optimized geometry

The formation energy is -0.341 eV per atom. As for the total energy: -7.016 eV/atom. The theoretical density comes out at 10.11 g/cm³.

Unit cell a=7.6741 b=7.6741 c=7.6741 alpha=90.00 beta=90.00 gamma=90.00
Last column: nearest neighbours and their distance in Å.
Space group F-43m (No. 216)
One atom of each set of equivalent atoms:
Ba (0.0000, 0.0000, 0.0000) (multiplicity 4)  12 Rh 3.18, 4 La 3.32
La (0.2500, 0.2500, 0.2500) (multiplicity 4)  12 Rh 3.18, 4 Ba 3.32
Rh (0.1246, 0.1246, 0.6246) (multiplicity 16)  6 Rh 2.70-2.72

# 3
BaLa4Ru | GGA-PBEsol | optimized geometry

The formation energy is 0.723 eV per atom. As for the total energy: -4.895 eV/atom. The theoretical density comes out at 7.42 g/cm³.

Unit cell a=8.9257 b=8.9257 c=8.9257 alpha=90.00 beta=90.00 gamma=90.00
Last column: nearest neighbours and their distance in Å.
Space group F-43m (No. 216)
One atom of each set of equivalent atoms:
Ba (0.0000, 0.0000, 0.0000) (multiplicity 4)  12 La 3.71, 4 Ru 3.86
La (0.1227, 0.1227, 0.3773) (multiplicity 16)  6 La 3.10-3.21
Ru (0.2500, 0.2500, 0.7500) (multiplicity 4)  12 La 3.69, 4 Ba 3.86

# 4
BaLaRu2 | GGA-PBEsol | optimized geometry

The formation energy is 0.389 eV per atom. As for the total energy: -6.572 eV/atom. The theoretical density comes out at 7.48 g/cm³.

Unit cell a=3.5079 b=3.5079 c=8.6343 alpha=90.00 beta=90.00 gamma=90.00
Last column: nearest neighbours and their distance in Å.
Space group P4mm (No. 99)
One atom of each set of equivalent atoms:
Ba (0.0000, 0.0000, 0.0000) (multiplicity 1)  5 Ru 3.13-3.45
La (0.5000, 0.5000, 0.4258) (multiplicity 1)  1 Ru 2.56
Ru (0.0000, 0.0000, 0.6377) (multiplicity 1)  4 Ru 2.58
Ru (0.5000, 0.5000, 0.7218) (multiplicity 1)  1 La 2.56, 4 Ru 2.58

# 5
Ba2LaScRu | GGA-PBEsol | optimized geometry

The formation energy is 1.486 eV per atom. As for the total energy: -3.798 eV/atom. The theoretical density comes out at 5.00 g/cm³.

Unit cell a=5.8233 b=5.8233 c=5.4844 alpha=90.00 beta=90.00 gamma=90.00
Last column: nearest neighbours and their distance in Å.
Space group P4/mmm (No. 123)
One atom of each set of equivalent atoms:
Ba (0.0000, 0.5000, 0.0000) (multiplicity 2)  2 Sc 2.91
La (0.0000, 0.0000, 0.5000) (multiplicity 1)  2 Sc 2.74
Sc (0.0000, 0.0000, 0.0000) (multiplicity 1)  2 La 2.74, 4 Ba 2.91
Ru (0.5000, 0.5000, 0.5000) (multiplicity 1)  8 Ba 4.00, 4 La 4.12

# 6
BaLa2TeRu | GGA-PBEsol | optimized geometry

As for the total energy: -5.787 eV/atom. The theoretical density comes out at 6.29 g/cm³. The calculation puts the uncorrected formation energy at -479 meV per atom.

Unit cell a=5.2375 b=5.2375 c=6.1937 alpha=90.00 beta=90.00 gamma=90.00
Last column: nearest neighbours and their distance in Å.
Space group P4/mmm (No. 123)
One atom of each set of equivalent atoms:
Ba (0.0000, 0.0000, 0.0000) (multiplicity 1)  2 Ru 3.10
La (0.0000, 0.5000, 0.5000) (multiplicity 2)  2 Ru 2.62
Te (0.5000, 0.5000, 0.0000) (multiplicity 1)  4 Ba 3.70, 8 La 4.06
Ru (0.0000, 0.0000, 0.5000) (multiplicity 1)  4 La 2.62

So what do the calculations give for total magnetic moment? Going down the list: 0.00; 0.00; 0.00; 0.00; 2.66; 0.00 μB/f.u..
So what do the calculations give for D(E_F)? Going down the list: 20.53; 31.51; 42.74; 5.75; 10.78; 4.44 states/eV per cell.